(a)
This record from Alexandria describes an optimized crystal structure of Cu3AsF. The functional is PBE-GGA.

Symmetry   Pm-3m

The structure in extended XYZ format:
```
5
Lattice="4.517 0.000 0.000 0.000 4.517 0.000 0.000 0.000 4.517" Properties=species:S:1:pos:R:3 pbc="T T T"
Cu 0.000 0.000 2.258
Cu 0.000 2.258 0.000
Cu 2.258 0.000 0.000
As 0.000 0.000 0.000
F 2.258 2.258 2.258
```



(b)
This record from Alexandria describes an optimized crystal structure of Cu3AsF. The functional is PBE-GGA.

Symmetry   Pm-3m

The structure in extended XYZ format:
```
5
Lattice="4.148 0.000 0.000 0.000 4.148 0.000 0.000 0.000 4.148" Properties=species:S:1:pos:R:3 pbc="T T T"
Cu 0.000 0.000 2.074
Cu 0.000 2.074 0.000
Cu 2.074 0.000 0.000
As 2.074 2.074 2.074
F 0.000 0.000 0.000
```



Most stable structure: (b)



(a)
This record from Alexandria describes an optimized crystal structure of CuAs3F. The functional is PBE-GGA.

Symmetry   Pm-3m

The structure in extended XYZ format:
```
5
Lattice="4.510 0.000 0.000 0.000 4.510 0.000 0.000 0.000 4.510" Properties=species:S:1:pos:R:3 pbc="T T T"
Cu 0.000 0.000 0.000
As 0.000 2.255 2.255
As 2.255 0.000 2.255
As 2.255 2.255 0.000
F 2.255 2.255 2.255
```



(b)
This record from Alexandria describes an optimized crystal structure of CuAs3F. The functional is PBE-GGA.

Symmetry   Pm-3m

The structure in extended XYZ format:
```
5
Lattice="4.672 0.000 0.000 0.000 4.672 0.000 0.000 0.000 4.672" Properties=species:S:1:pos:R:3 pbc="T T T"
Cu 0.000 0.000 0.000
As 0.000 0.000 2.336
As 0.000 2.336 0.000
As 2.336 0.000 0.000
F 2.336 2.336 2.336
```



Most stable structure: (b)



(a)
This record from Alexandria describes an optimized crystal structure of CuAsSe2F. The functional is PBE-GGA.

Symmetry   P4/mmm

The structure in extended XYZ format:
```
5
Lattice="4.662 0.000 0.000 0.000 4.662 0.000 0.000 0.000 4.785" Properties=species:S:1:pos:R:3 pbc="T T T"
Cu 0.000 0.000 0.000
As 0.000 0.000 2.393
Se 0.000 2.331 0.000
Se 2.331 0.000 0.000
F 2.331 2.331 2.393
```



(b)
This record from Alexandria describes an optimized crystal structure of CuAsSe2F. The functional is PBE-GGA.

Symmetry   P4/mmm

The structure in extended XYZ format:
```
5
Lattice="4.942 0.000 0.000 0.000 4.942 0.000 0.000 0.000 4.060" Properties=species:S:1:pos:R:3 pbc="T T T"
Cu 0.000 0.000 0.000
As 2.471 2.471 0.000
Se 0.000 2.471 2.030
Se 2.471 0.000 2.030
F 2.471 2.471 2.030
```



Most stable structure: (a)